Material: CePaCdO6
Method: DFT, PBE-GGA
State: optimized geometry

Values from the calculation:
N(E_F)	0.85	states/eV per atom
total magnetic moment	0.00	μB per atom
formation energy (no corrections)	-23.30	eV per formula unit
total DFT energy (no corrections)	-69.4	eV per cell

Cell lengths 5.6638, 5.6638, 4.9267 Å; angles 90.00, 90.00, 120.00 degrees
Closest atoms and distances in Å follow each position.
Space group P312 (No. 149)
Asymmetric unit:
Ce: 0.0000 0.0000 0.0000 [1 per cell]  6 O 2.26
Pa: 0.3333 0.6667 0.5000 [1 per cell]  6 O 2.18
Cd: 0.6667 0.3333 0.0000 [1 per cell]  6 O 2.32
O: 0.0217 0.3460 0.2481 [6 per cell]  1 Pa 2.18, 1 Ce 2.26, 1 Cd 2.32